A plane-wave DFT calculation with PBE-GGA was carried out for a relaxed structure of Be2OsRu.

Energy of formation from the pure elements ... 0.19 eV/f.u.
Calculated density ... 11.0 g cm⁻³
Magnetization ... 0.00 μB/f.u.
Fermi-level density of states ... 3.300 states/eV/f.u.

Cell: 2.8580 3.7309 4.3946 Å, 90.00 90.00 90.00°
Closest atoms and distances in Å follow each position.
Space group Pmmm (No. 47)
Inequivalent atoms, fractional coordinates:
Be 0.0000 0.0000 0.0000 [1 per cell]  4 Ru 2.35, 4 Be 2.62
Be 0.5000 0.0000 0.5000 [1 per cell]  4 Os 2.35, 4 Be 2.62
Os 0.0000 0.5000 0.5000 [1 per cell]  4 Be 2.35, 4 Ru 2.62
Ru 0.5000 0.5000 0.0000 [1 per cell]  4 Be 2.35, 4 Os 2.62